This record from the Alexandria database describes a relaxed LiEr2Ru crystal. The functional is GGA-PBE.

```
LiEr2Ru
1.0
3.3873 0.0000 0.0000
0.0000 3.3873 0.0000
0.0000 0.0000 8.0581
Li Ru Er
1 1 2
Cartesian
1.6936 1.6936 4.0290
1.6936 1.6936 0.0000
0.0000 0.0000 6.4263
0.0000 0.0000 1.6318
```

Computed properties:
symmetry = P4/mmm (123)
E above lowest polymorph = 0.037 eV per atom
ΔH_f (0 K) = -0.28 eV per atom
M_tot = 0.000 Bohr magnetons per cell